(P)
The following is a DFT calculation (GGA-PBE) of an optimized crystal structure of TmPaCo.

Calculated values
D(E_F)   3.49 states/eV/f.u.
Space-group type   Cm (8)

Cell lengths 13.141, 3.551, 6.522 Å; angles 90.00, 118.60, 90.00 degrees
Fractional positions:
Tm (0.000, 0.000, 0.000)
Tm (0.219, 0.500, 0.946)
Tm (0.500, 0.500, 0.000)
Tm (0.719, 0.000, 0.946)
Pa (0.219, 0.500, 0.446)
Pa (0.437, 0.000, 0.448)
Pa (0.719, 0.000, 0.446)
Pa (0.937, 0.500, 0.448)
Co (0.089, 0.000, 0.529)
Co (0.323, 0.000, 0.741)
Co (0.589, 0.500, 0.529)
Co (0.823, 0.500, 0.741)

***

(Q)
The following is a DFT calculation (GGA-PBE) of an optimized crystal structure of TmPaCo.

Calculated values
D(E_F)   4.23 states/eV/f.u.
Space-group type   P2_1/c (14)

Cell lengths 6.456, 6.560, 7.511 Å; angles 90.00, 122.69, 90.00 degrees
Fractional positions:
Tm (0.214, 0.164, 0.425)
Tm (0.214, 0.336, 0.925)
Tm (0.786, 0.664, 0.075)
Tm (0.786, 0.836, 0.575)
Pa (0.269, 0.673, 0.595)
Pa (0.269, 0.827, 0.095)
Pa (0.731, 0.173, 0.905)
Pa (0.731, 0.327, 0.405)
Co (0.307, 0.536, 0.309)
Co (0.307, 0.964, 0.809)
Co (0.693, 0.036, 0.191)
Co (0.693, 0.464, 0.691)

***

Quick one: least stable of them? (Q)